[1]
K2NbTc: relaxed, PBE-GGA.

a b c (Å): 12.837 12.837 4.499
angles (deg): 90.00 90.00 90.00
Space group I-42d (No. 122)
Symmetry-distinct sites (fractional):
K  0.082  0.250  0.125 x8
Nb  0.000  0.000  0.500 x4
Tc  0.000  0.000  0.000 x4

DOS at the Fermi energy ... 4.1 states/eV/f.u.
Energy of formation from the pure elements ... 1.37 eV per atom
Excess energy over the best structure of this formula in the dataset ... 0.00 eV/f.u.
Calculated total energy ... -4.29 eV per atom

=====

[2]
K2NbTlTc: relaxed, PBE-GGA.

a b c (Å): 5.774 5.774 5.270
angles (deg): 90.00 90.00 90.00
Space group P4/mmm (No. 123)
Symmetry-distinct sites (fractional):
K  0.000  0.500  0.000 x2
Nb  0.000  0.000  0.500 x1
Tl  0.500  0.500  0.000 x1
Tc  0.500  0.500  0.500 x1

DOS at the Fermi energy ... 14.2 states/eV/f.u.
Energy of formation from the pure elements ... 2.20 eV per atom
Calculated total energy ... -2.80 eV per atom

=====

[3]
K2NbTe8: relaxed, PBE-GGA.

a b c (Å): 15.734 8.103 7.044
angles (deg): 90.00 93.81 90.00
Space group C2/m (No. 12)
Symmetry-distinct sites (fractional):
K  0.189  0.000  0.204 x4
Nb  0.000  0.500  0.500 x2
Te  0.053  0.000  0.783 x4
Te  0.067  0.500  0.141 x4
Te  0.126  0.265  0.592 x8

DOS at the Fermi energy ... 7.8 states/eV/f.u.
Calculated total energy ... -3.74 eV per atom
Formation energy (no corrections) ... -340 meV per atom

=====

[4]
KNbTe3: relaxed, PBE-GGA.

a b c (Å): 7.8905 7.8905 6.2995
angles (deg): 90.00 90.00 120.00
Space group P6_3/mmc (No. 194)
Symmetry-distinct sites (fractional):
K  0.3333  0.6667  0.2500 x2
Nb  0.0000  0.0000  0.0000 x2
Te  0.1712  0.3424  0.7500 x6

DOS at the Fermi energy ... 3.0 states/eV/f.u.
Excess energy over the best structure of this formula in the dataset ... 0.00 eV/f.u.
Calculated total energy ... -4.67 eV per atom
Formation energy (no corrections) ... -556 meV per atom

=====

[5]
KNb2Te2: relaxed, PBE-GGA.

a b c (Å): 8.835 8.835 3.489
angles (deg): 90.00 90.00 90.00
Space group P4/mbm (No. 127)
Symmetry-distinct sites (fractional):
K  0.000  0.000  0.000 x2
Nb  0.098  0.402  0.500 x4
Te  0.159  0.659  0.000 x4

DOS at the Fermi energy ... 3.3 states/eV/f.u.
Excess energy over the best structure of this formula in the dataset ... 3.01 eV/f.u.
Calculated total energy ... -5.43 eV per atom
Formation energy (no corrections) ... 78 meV per atom

=====

[6]
KNb5Te8: relaxed, PBE-GGA.

a b c (Å): 20.149 3.713 10.077
angles (deg): 90.00 104.65 90.00
Space group C2/m (No. 12)
Symmetry-distinct sites (fractional):
K  0.000  0.000  0.000 x2
Nb  0.000  0.500  0.500 x2
Nb  0.139  0.000  0.506 x4
Nb  0.214  0.000  0.870 x4
Te  0.070  0.000  0.703 x4
Te  0.083  0.500  0.308 x4
Te  0.150  0.500  0.004 x4
Te  0.243  0.500  0.660 x4

DOS at the Fermi energy ... 7.8 states/eV/f.u.
Calculated total energy ... -5.97 eV per atom
Formation energy (no corrections) ... -502 meV per atom

=====

[7]
K3NbTe: relaxed, PBE-GGA.

a b c (Å): 6.622 6.622 6.622
angles (deg): 90.00 90.00 90.00
Space group Pm-3m (No. 221)
Symmetry-distinct sites (fractional):
K  0.000  0.000  0.500 x3
Nb  0.500  0.500  0.500 x1
Te  0.000  0.000  0.000 x1

DOS at the Fermi energy ... 8.2 states/eV/f.u.
Excess energy over the best structure of this formula in the dataset ... 0.00 eV/f.u.
Calculated total energy ... -2.71 eV per atom
Formation energy (no corrections) ... 587 meV per atom

=====

[8]
KNb4Te8: relaxed, PBE-GGA.

a b c (Å): 18.937 3.695 13.480
angles (deg): 90.00 130.90 90.00
Space group C2/m (No. 12)
Symmetry-distinct sites (fractional):
K  0.000  0.000  0.000 x2
Nb  0.164  0.000  0.476 x4
Nb  0.180  0.500  0.859 x4
Te  0.034  0.000  0.736 x4
Te  0.127  0.500  0.597 x4
Te  0.149  0.500  0.305 x4
Te  0.185  0.500  0.072 x4

DOS at the Fermi energy ... 8.7 states/eV/f.u.
Calculated total energy ... -5.58 eV per atom
Formation energy (no corrections) ... -463 meV per atom

=====

[9]
KNb2Te2: relaxed, PBE-GGA.

a b c (Å): 4.081 4.081 16.707
angles (deg): 90.00 90.00 90.00
Space group I4/mmm (No. 139)
Symmetry-distinct sites (fractional):
K  0.000  0.000  0.000 x2
Nb  0.000  0.500  0.250 x4
Te  0.000  0.000  0.369 x4

DOS at the Fermi energy ... 1.0 states/eV/f.u.
Excess energy over the best structure of this formula in the dataset ... 0.00 eV/f.u.
Calculated total energy ... -6.03 eV per atom
Formation energy (no corrections) ... -523 meV per atom

=====

[10]
KNbTe4: relaxed, PBE-GGA.

a b c (Å): 8.977 15.248 6.485
angles (deg): 90.00 110.44 90.00
Space group C2/c (No. 15)
Symmetry-distinct sites (fractional):
K  0.000  0.137  0.250 x4
Nb  0.000  0.499  0.750 x4
Te  0.081  0.352  0.538 x8
Te  0.238  0.068  0.872 x8

DOS at the Fermi energy ... 2.6 states/eV/f.u.
Calculated total energy ... -4.41 eV per atom
Formation energy (no corrections) ... -454 meV per atom

=====

[11]
KNbTe2: relaxed, PBE-GGA.

a b c (Å): 8.103 8.103 9.665
angles (deg): 90.00 90.00 90.00
Space group I-42d (No. 122)
Symmetry-distinct sites (fractional):
K  0.000  0.000  0.000 x4
Nb  0.000  0.000  0.500 x4
Te  0.171  0.250  0.625 x8

DOS at the Fermi energy ... 1.4 states/eV/f.u.
Calculated total energy ... -4.70 eV per atom
Formation energy (no corrections) ... -340 meV per atom

=====

[12]
KNbTe3: relaxed, PBE-GGA.

a b c (Å): 5.705 5.705 5.705
angles (deg): 90.00 90.00 90.00
Space group Pm-3m (No. 221)
Symmetry-distinct sites (fractional):
K  0.000  0.000  0.000 x1
Nb  0.500  0.500  0.500 x1
Te  0.000  0.000  0.500 x3

DOS at the Fermi energy ... 20.3 states/eV/f.u.
Excess energy over the best structure of this formula in the dataset ... 11.01 eV/f.u.
Calculated total energy ... -2.47 eV per atom
Formation energy (no corrections) ... 1646 meV per atom

=====

[13]
KNb6Te8: relaxed, PBE-GGA.

a b c (Å): 10.8686 10.8686 3.6951
angles (deg): 90.00 90.00 120.00
Space group P-3 (No. 147)
Symmetry-distinct sites (fractional):
K  0.0000  0.0000  0.0000 x1
Nb  0.1003  0.6116  0.7518 x6
Te  0.0654  0.3394  0.7462 x6
Te  0.3333  0.6667  0.2510 x2

DOS at the Fermi energy ... 7.5 states/eV/f.u.
Calculated total energy ... -6.29 eV per atom
Formation energy (no corrections) ... -513 meV per atom

=====

[14]
KNbTe3: relaxed, PBE-GGA.

a b c (Å): 5.535 5.535 5.535
angles (deg): 90.00 90.00 90.00
Space group Pm-3m (No. 221)
Symmetry-distinct sites (fractional):
K  0.000  0.000  0.000 x1
Nb  0.500  0.500  0.500 x1
Te  0.000  0.500  0.500 x3

DOS at the Fermi energy ... 3.3 states/eV/f.u.
Excess energy over the best structure of this formula in the dataset ... 0.87 eV/f.u.
Calculated total energy ... -4.50 eV per atom
Formation energy (no corrections) ... -382 meV per atom

=====

[15]
K2NbTe5: relaxed, PBE-GGA.

a b c (Å): 6.197 6.982 8.921
angles (deg): 112.92 110.19 90.19
Space group P1 (No. 1)
Symmetry-distinct sites (fractional):
K  0.000  0.000  0.000 x1
K  0.292  0.291  0.586 x1
Nb  0.645  0.781  0.293 x1
Te  0.037  0.780  0.559 x1
Te  0.252  0.516  0.026 x1
Te  0.518  0.782  0.559 x1
Te  0.647  0.153  0.293 x1
Te  0.771  0.516  0.026 x1

DOS at the Fermi energy ... 5.4 states/eV/f.u.
Calculated total energy ... -4.02 eV per atom
Formation energy (no corrections) ... -525 meV per atom

=====

[16]
KNbTe2: relaxed, PBE-GGA.

a b c (Å): 4.472 4.472 14.516
angles (deg): 90.00 90.00 90.00
Space group I-4m2 (No. 119)
Symmetry-distinct sites (fractional):
K  0.000  0.000  0.000 x2
Nb  0.000  0.500  0.750 x2
Te  0.000  0.000  0.357 x4

DOS at the Fermi energy ... 2.7 states/eV/f.u.
Calculated total energy ... -4.72 eV per atom
Formation energy (no corrections) ... -355 meV per atom

=====

[17]
K2NbTe: relaxed, PBE-GGA.

a b c (Å): 12.928 12.928 5.451
angles (deg): 90.00 90.00 90.00
Space group I-42d (No. 122)
Symmetry-distinct sites (fractional):
K  0.077  0.750  0.125 x8
Nb  0.000  0.000  0.500 x4
Te  0.000  0.000  0.000 x4

DOS at the Fermi energy ... 2.8 states/eV/f.u.
Calculated total energy ... -3.49 eV per atom
Formation energy (no corrections) ... 366 meV per atom

=====

[18]
K2NbTl3Te6: relaxed, PBE-GGA.

a b c (Å): 8.157 15.444 7.748
angles (deg): 90.00 110.68 90.00
Space group C2/m (No. 12)
Symmetry-distinct sites (fractional):
K  0.000  0.180  0.000 x4
Nb  0.000  0.500  0.000 x2
Tl  0.000  0.000  0.500 x2
Tl  0.000  0.373  0.500 x4
Te  0.208  0.370  0.228 x8
Te  0.233  0.500  0.799 x4

DOS at the Fermi energy ... 7.0 states/eV/f.u.
Calculated total energy ... -3.62 eV per atom
Formation energy (no corrections) ... -439 meV per atom

=====

[19]
K2NbTlTe4: relaxed, PBE-GGA.

a b c (Å): 8.926 8.926 8.821
angles (deg): 90.00 90.00 90.00
Space group I-4 (No. 82)
Symmetry-distinct sites (fractional):
K  0.000  0.000  0.000 x2
K  0.000  0.500  0.250 x2
Nb  0.000  0.000  0.500 x2
Tl  0.000  0.500  0.750 x2
Te  0.167  0.820  0.666 x8

Calculated total energy ... -3.98 eV per atom
Formation energy (no corrections) ... -577 meV per atom

=====

[20]
KTi3Nb: relaxed, PBE-GGA.

a b c (Å): 5.019 5.019 5.019
angles (deg): 90.00 90.00 90.00
Space group Pm-3m (No. 221)
Symmetry-distinct sites (fractional):
K  0.000  0.000  0.000 x1
Ti  0.000  0.500  0.500 x3
Nb  0.500  0.500  0.500 x1

DOS at the Fermi energy ... 7.7 states/eV/f.u.
Energy of formation from the pure elements ... 1.08 eV per atom
Excess energy over the best structure of this formula in the dataset ... 0.00 eV/f.u.
Calculated total energy ... -5.89 eV per atom

=====

[21]
KTi3Nb: relaxed, PBE-GGA.

a b c (Å): 4.513 4.513 4.513
angles (deg): 90.00 90.00 90.00
Space group Pm-3m (No. 221)
Symmetry-distinct sites (fractional):
K  0.000  0.000  0.000 x1
Ti  0.000  0.000  0.500 x3
Nb  0.500  0.500  0.500 x1

DOS at the Fermi energy ... 8.8 states/eV/f.u.
Energy of formation from the pure elements ... 1.92 eV per atom
Excess energy over the best structure of this formula in the dataset ... 4.20 eV/f.u.
Calculated total energy ... -5.05 eV per atom

=====

[22]
KTiNb3: relaxed, PBE-GGA.

a b c (Å): 4.648 4.648 4.648
angles (deg): 90.00 90.00 90.00
Space group Pm-3m (No. 221)
Symmetry-distinct sites (fractional):
K  0.000  0.000  0.000 x1
Ti  0.500  0.500  0.500 x1
Nb  0.000  0.000  0.500 x3

DOS at the Fermi energy ... 10.2 states/eV/f.u.
Energy of formation from the pure elements ... 2.49 eV per atom
Excess energy over the best structure of this formula in the dataset ... 4.92 eV/f.u.
Calculated total energy ... -5.35 eV per atom

=====

[23]
KTiNb3: relaxed, PBE-GGA.

a b c (Å): 4.937 4.937 4.937
angles (deg): 90.00 90.00 90.00
Space group Pm-3m (No. 221)
Symmetry-distinct sites (fractional):
K  0.000  0.000  0.000 x1
Ti  0.500  0.500  0.500 x1
Nb  0.000  0.500  0.500 x3

DOS at the Fermi energy ... 12.7 states/eV/f.u.
Energy of formation from the pure elements ... 1.51 eV per atom
Excess energy over the best structure of this formula in the dataset ... 0.00 eV/f.u.
Calculated total energy ... -6.33 eV per atom

=====

[24]
KTiNb2W: relaxed, PBE-GGA.

a b c (Å): 4.969 4.969 4.725
angles (deg): 90.00 90.00 90.00
Space group P4/mmm (No. 123)
Symmetry-distinct sites (fractional):
K  0.000  0.000  0.000 x1
Ti  0.500  0.500  0.500 x1
Nb  0.000  0.500  0.500 x2
W  0.500  0.500  0.000 x1

DOS at the Fermi energy ... 7.8 states/eV/f.u.
Energy of formation from the pure elements ... 1.72 eV per atom
Calculated total energy ... -6.70 eV per atom

=====

[25]
KNb3Tl: relaxed, PBE-GGA.

a b c (Å): 4.703 4.703 4.703
angles (deg): 90.00 90.00 90.00
Space group Pm-3m (No. 221)
Symmetry-distinct sites (fractional):
K  0.000  0.000  0.000 x1
Nb  0.000  0.000  0.500 x3
Tl  0.500  0.500  0.500 x1

DOS at the Fermi energy ... 5.7 states/eV/f.u.
Energy of formation from the pure elements ... 2.46 eV per atom
Excess energy over the best structure of this formula in the dataset ... 1.74 eV/f.u.
Calculated total energy ... -4.28 eV per atom